No. 1
VASP calculation (GGA-PBE) on Nd2ErSi3Pt12 after structural relaxation.

Lattice parameters (Å, degrees): 7.7155 7.7155 7.7155 65.43 65.43 65.43
Positions (direct):
1 Nd 0.5996 0.5996 0.5996
2 Nd 0.4004 0.4004 0.4004
3 Er 0.0000 0.0000 0.0000
4 Si 0.5000 0.0000 0.0000
5 Si 0.0000 0.5000 0.0000
6 Si 0.0000 0.0000 0.5000
7 Pt 0.3493 0.3493 0.8998
8 Pt 0.8561 0.8561 0.3979
9 Pt 0.3979 0.8561 0.8561
10 Pt 0.8998 0.3493 0.3493
11 Pt 0.8561 0.3979 0.8561
12 Pt 0.3493 0.8998 0.3493
13 Pt 0.6507 0.6507 0.1002
14 Pt 0.1439 0.1439 0.6021
15 Pt 0.6021 0.1439 0.1439
16 Pt 0.1002 0.6507 0.6507
17 Pt 0.1439 0.6021 0.1439
18 Pt 0.6507 0.1002 0.6507

## Properties
- space group = R-3m (166)
- ΔE_f (raw) (meV per atom) = -557
- total DFT energy (no corrections) (eV per atom) = -6.271

=====

No. 2
VASP calculation (GGA-PBE) on NdEr2Si2Pt7 after structural relaxation.

Lattice parameters (Å, degrees): 4.0599 4.0599 13.8520 83.57 83.57 89.31
Positions (direct):
1 Nd 0.0000 0.0000 0.0000
2 Er 0.8796 0.8796 0.3593
3 Er 0.1204 0.1204 0.6407
4 Si 0.6011 0.6011 0.7381
5 Si 0.3989 0.3989 0.2619
6 Pt 0.5000 0.5000 0.0000
7 Pt 0.3621 0.3621 0.4306
8 Pt 0.6379 0.6379 0.5694
9 Pt 0.9341 0.4347 0.1685
10 Pt 0.4347 0.9341 0.1685
11 Pt 0.5653 0.0659 0.8315
12 Pt 0.0659 0.5653 0.8315

## Properties
- space group = C2/m (12)
- ΔE_f (raw) (meV per atom) = -1058
- total DFT energy (no corrections) (eV per atom) = -6.644